The following is a GGA-PBE calculation of a relaxed structure of Lu2HgO4, from OQMD via LeMat-Bulk.

Values from the calculation:
* E_tot: -6.8322 eV/atom
* space group: Fd-3m (227)

a = 6.653 Å, b = 6.653 Å, c = 6.653 Å
α = 60.00°, β = 60.00°, γ = 60.00°
Fractional positions:
Lu  0.000  0.000  0.000
Lu  0.000  0.000  0.500
Lu  0.000  0.500  0.000
Lu  0.500  0.000  0.000
Hg  0.375  0.375  0.375
Hg  0.625  0.625  0.625
O  0.202  0.766  0.766
O  0.234  0.234  0.234
O  0.234  0.234  0.798
O  0.234  0.798  0.234
O  0.766  0.202  0.766
O  0.766  0.766  0.202
O  0.766  0.766  0.766
O  0.798  0.234  0.234

---

The following is a GGA-PBE calculation of a relaxed structure of RbLuHgO3, from OQMD via LeMat-Bulk.

Values from the calculation:
* E_tot: -5.3419 eV/atom
* space group: Cmcm (63)

a = 7.315 Å, b = 7.315 Å, c = 8.888 Å
α = 90.00°, β = 90.00°, γ = 152.24°
Fractional positions:
Rb  0.182  0.818  0.750
Rb  0.818  0.182  0.250
Lu  0.500  0.500  0.000
Lu  0.500  0.500  0.500
Hg  0.107  0.893  0.250
Hg  0.893  0.107  0.750
O  0.102  0.898  0.020
O  0.102  0.898  0.480
O  0.476  0.524  0.250
O  0.524  0.476  0.750
O  0.898  0.102  0.520
O  0.898  0.102  0.980

---

The following is a GGA-PBE calculation of a relaxed structure of LuHgSeO, from OQMD via LeMat-Bulk.

Values from the calculation:
* energy above the most stable polymorph in this dataset: 0 meV per atom
* space group: P2_1 (4)

a = 5.580 Å, b = 5.575 Å, c = 12.960 Å
α = 90.00°, β = 91.80°, γ = 90.00°
Fractional positions:
Lu  0.003  0.000  0.077
Lu  0.495  0.001  0.922
Lu  0.505  0.501  0.078
Lu  0.997  0.500  0.923
Hg  0.139  0.275  0.496
Hg  0.498  0.019  0.263
Hg  0.502  0.519  0.737
Hg  0.861  0.775  0.504
Se  0.185  0.333  0.238
Se  0.192  0.205  0.756
Se  0.808  0.705  0.244
Se  0.815  0.833  0.762
O  0.250  0.749  0.000
O  0.255  0.248  0.000
O  0.745  0.748  0.000
O  0.750  0.249  0.000

---

The following is a GGA-PBE calculation of a relaxed structure of LuHgSeO, from OQMD via LeMat-Bulk.

Values from the calculation:
* energy above the most stable polymorph in this dataset: 134 meV per atom
* space group: P4/nmm (129)

a = 3.948 Å, b = 3.948 Å, c = 10.077 Å
α = 90.00°, β = 90.00°, γ = 90.00°
Fractional positions:
Lu  0.250  0.250  0.099
Lu  0.750  0.750  0.901
Hg  0.250  0.750  0.500
Hg  0.750  0.250  0.500
Se  0.250  0.250  0.744
Se  0.750  0.750  0.256
O  0.250  0.750  0.000
O  0.750  0.250  0.000

---

The following is a GGA-PBE calculation of a relaxed structure of LuHgSeO, from OQMD via LeMat-Bulk.

Values from the calculation:
* energy above the most stable polymorph in this dataset: 92 meV per atom
* space group: P2_1/c (14)

a = 7.541 Å, b = 7.050 Å, c = 6.609 Å
α = 90.00°, β = 92.31°, γ = 90.00°
Fractional positions:
Lu  0.036  0.138  0.306
Lu  0.036  0.362  0.806
Lu  0.964  0.638  0.194
Lu  0.964  0.862  0.694
Hg  0.484  0.189  0.493
Hg  0.484  0.311  0.993
Hg  0.516  0.689  0.007
Hg  0.516  0.811  0.507
Se  0.256  0.026  0.963
Se  0.256  0.474  0.463
Se  0.744  0.526  0.537
Se  0.744  0.974  0.037
O  0.057  0.652  0.899
O  0.057  0.848  0.399
O  0.943  0.152  0.601
O  0.943  0.348  0.101

---

The following is a GGA-PBE calculation of a relaxed structure of LuHgSeO, from OQMD via LeMat-Bulk.

Values from the calculation:
* energy above the most stable polymorph in this dataset: 225 meV per atom
* space group: Pmc2_1 (26)

a = 4.552 Å, b = 8.843 Å, c = 5.537 Å
α = 90.00°, β = 90.00°, γ = 90.00°
Fractional positions:
Lu  0.000  0.131  0.000
Lu  0.000  0.869  0.500
Hg  0.500  0.303  0.583
Hg  0.500  0.697  0.083
Se  0.500  0.306  0.088
Se  0.500  0.694  0.588
O  0.000  0.076  0.650
O  0.000  0.924  0.150

---

The following is a GGA-PBE calculation of a relaxed structure of LuHgOs, from OQMD via LeMat-Bulk.

Values from the calculation:
* energy above the most stable polymorph in this dataset: 0 meV per atom
* space group: F-43m (216)
* E_form: 358.5 meV per atom

a = 4.613 Å, b = 4.613 Å, c = 4.613 Å
α = 60.00°, β = 60.00°, γ = 60.00°
Fractional positions:
Lu  0.000  0.000  0.000
Hg  0.500  0.500  0.500
Os  0.750  0.750  0.750

---

The following is a GGA-PBE calculation of a relaxed structure of LuHgOs, from OQMD via LeMat-Bulk.

Values from the calculation:
* energy above the most stable polymorph in this dataset: 370 meV per atom
* space group: F-43m (216)
* E_form: 728.7 meV per atom

a = 4.630 Å, b = 4.630 Å, c = 4.630 Å
α = 60.00°, β = 60.00°, γ = 60.00°
Fractional positions:
Lu  0.000  0.000  0.000
Hg  0.750  0.750  0.750
Os  0.250  0.250  0.250

---

The following is a GGA-PBE calculation of a relaxed structure of Lu2HgPb, from OQMD via LeMat-Bulk.

Values from the calculation:
* E_tot: -3.2021 eV/atom
* space group: F-43m (216)

a = 5.379 Å, b = 5.379 Å, c = 5.379 Å
α = 60.00°, β = 60.00°, γ = 60.00°
Fractional positions:
Lu  0.000  0.000  0.000
Lu  0.250  0.250  0.250
Hg  0.750  0.750  0.750
Pb  0.500  0.500  0.500

---

The following is a GGA-PBE calculation of a relaxed structure of LuHg2Pb, from OQMD via LeMat-Bulk.

Values from the calculation:
* E_tot: -2.3245 eV/atom
* space group: F-43m (216)

a = 5.269 Å, b = 5.269 Å, c = 5.269 Å
α = 60.00°, β = 60.00°, γ = 60.00°
Fractional positions:
Lu  0.000  0.000  0.000
Hg  0.250  0.250  0.250
Hg  0.500  0.500  0.500
Pb  0.750  0.750  0.750

---

The following is a GGA-PBE calculation of a relaxed structure of LuHgTe3Pd, from OQMD via LeMat-Bulk.

Values from the calculation:
* energy above the most stable polymorph in this dataset: 0 meV per atom
* space group: Cmcm (63)

a = 8.393 Å, b = 8.393 Å, c = 10.139 Å
α = 90.00°, β = 90.00°, γ = 151.57°
Fractional positions:
Lu  0.000  0.000  0.000
Lu  0.000  0.000  0.500
Hg  0.248  0.752  0.750
Hg  0.752  0.248  0.250
Te  0.102  0.898  0.250
Te  0.371  0.629  0.077
Te  0.371  0.629  0.423
Te  0.629  0.371  0.577
Te  0.629  0.371  0.923
Te  0.898  0.102  0.750
Pd  0.492  0.508  0.250
Pd  0.508  0.492  0.750

---

The following is a GGA-PBE calculation of a relaxed structure of LuHgTe3Pd, from OQMD via LeMat-Bulk.

Values from the calculation:
* energy above the most stable polymorph in this dataset: 36 meV per atom
* space group: P2_1/m (11)

a = 8.776 Å, b = 4.036 Å, c = 10.573 Å
α = 90.00°, β = 110.47°, γ = 90.00°
Fractional positions:
Lu  0.196  0.250  0.166
Lu  0.804  0.750  0.834
Hg  0.198  0.750  0.693
Hg  0.802  0.250  0.307
Te  0.078  0.250  0.864
Te  0.274  0.250  0.491
Te  0.443  0.750  0.155
Te  0.557  0.250  0.845
Te  0.726  0.750  0.509
Te  0.922  0.750  0.136
Pd  0.403  0.750  0.393
Pd  0.597  0.250  0.607